[1]
# BaRhO3

Crystalline BaRhO3 at its relaxed geometry (GGA-PBEsol, Alexandria via LeMat-Bulk).

It has space group P6_3/mmc (No. 194), with a = 5.7083 Å, b = 5.7083 Å, c = 14.0961 Å, α = 90.00°, β = 90.00° and γ = 120.00°. Symmetry generates all atoms from Ba at (0.0000, 0.0000, 0.2500), Ba at (0.3333, 0.6667, 0.0883), Rh at (0.0000, 0.0000, 0.0000), Rh at (0.3333, 0.6667, 0.6553), O at (0.0345, 0.5173, 0.7500) and O at (0.1601, 0.3201, 0.5834).

For the total DFT energy (no corrections), the calculation gives -6.844 eV/atom. For the uncorrected formation energy, the calculation gives -1.637 eV/atom.



[2]
# BaRhO3

Crystalline BaRhO3 at its relaxed geometry (GGA-PBEsol, Alexandria via LeMat-Bulk).

It has space group Pm-3m (No. 221), with a = 4.007 Å, b = 4.007 Å, c = 4.007 Å, α = 90.00°, β = 90.00° and γ = 90.00°. Symmetry generates all atoms from Ba at (0.000, 0.000, 0.000), Rh at (0.500, 0.500, 0.500) and O at (0.000, 0.500, 0.500).

For the total DFT energy (no corrections), the calculation gives -6.783 eV/atom. For the uncorrected formation energy, the calculation gives -1.576 eV/atom.



[3]
# Ba2RuO4

Crystalline Ba2RuO4 at its relaxed geometry (GGA-PBEsol, Alexandria via LeMat-Bulk).

It has space group I4/mmm (No. 139), with a = 3.949 Å, b = 3.949 Å, c = 13.410 Å, α = 90.00°, β = 90.00° and γ = 90.00°. Symmetry generates all atoms from Ba at (0.000, 0.000, 0.146), Ru at (0.000, 0.000, 0.500), O at (0.000, 0.000, 0.346) and O at (0.000, 0.500, 0.000).

For the total DFT energy (no corrections), the calculation gives -7.132 eV/atom. For the uncorrected formation energy, the calculation gives -2.065 eV/atom.